First-principles (GGA+U) data for crystalline FeS2O6 at its relaxed geometry, as listed in the Alexandria database.

E   -6.15 eV/atom

```
data_FeS2O6
_chemical_formula_sum 'Fe2 S4 O12'
_cell_length_a 6.489
_cell_length_b 6.636
_cell_length_c 7.004
_cell_angle_alpha 94.45
_cell_angle_beta 114.31
_cell_angle_gamma 90.67
_space_group_name_H-M_alt 'P -1'
_space_group_IT_number 2
loop_
_space_group_symop_operation_xyz
'x,y,z'
'-x,-y,-z'
loop_
_atom_site_label
_atom_site_type_symbol
_atom_site_fract_x
_atom_site_fract_y
_atom_site_fract_z
Fe1 Fe 0.107 0.355 0.211
S1 S 0.060 0.856 0.292
S2 S 0.341 0.633 0.670
O1 O 0.044 0.674 0.142
O2 O 0.152 0.032 0.232
O3 O 0.211 0.696 0.792
O4 O 0.250 0.439 0.542
O5 O 0.332 0.800 0.521
O6 O 0.418 0.372 0.190
```